Material: Zr2Co2N
Method: DFT, PBE-GGA
State: relaxed

Cell lengths 7.673, 7.673, 7.673 Å; angles 156.65, 156.65, 33.25 degrees
Atoms (fractional coordinates):
Zr  0.095  0.095  0.000
Zr  0.905  0.905  0.000
Co  0.250  0.750  0.500
Co  0.750  0.250  0.500
N  0.500  0.500  0.000

## Properties
As for the crystal system: tetragonal. As for the offset from the most stable computed form: 0.002 eV/atom. As for the theoretical density: 7.36 Mg/m³. For the energy relative to the elements, uncorrected, the calculation gives -0.38 eV per formula unit. The total energy is -8.00 eV/atom. The calculation puts the density of states at the Fermi level at 1.18 states/eV per atom.